(1)
## LiLa2Os (PBE)

Data for LiLa2Os after structural relaxation.

- Mass density: 6.02 g cm⁻³
- Space group: No. 194
- Offset from the most stable computed form: 75 meV per atom

a b c (Å): 4.1835 4.1835 17.2888
angles (deg): 90.00 90.00 120.00
Last column: nearest neighbours and their distance in Å.
Fractional coordinates of all 8 atoms:
La: 0.3333 0.6667 0.9136  3 Os 2.84
La: 0.6667 0.3333 0.0864  3 Os 2.84
La: 0.6667 0.3333 0.4136  3 Os 2.84
La: 0.3333 0.6667 0.5864  3 Os 2.84
Li: 0.6667 0.3333 0.7500  6 La 3.72
Li: 0.3333 0.6667 0.2500  6 La 3.72
Os: 0.0000 0.0000 0.0000  6 La 2.84
Os: 0.0000 0.0000 0.5000  6 La 2.84


(2)
## LiLaSi2Os (PBE)

Data for LiLaSi2Os after structural relaxation.

- Mass density: 7.27 g cm⁻³
- Space group: No. 119
- Final energy: -0.231 hartree per atom

a b c (Å): 5.8780 5.8780 5.8780
angles (deg): 138.10 138.10 60.75
Last column: nearest neighbours and their distance in Å.
Fractional coordinates of all 5 atoms:
Os: 0.2500 0.7500 0.5000  4 Si 2.43
Si: 0.6289 0.6289 0.0000  2 Li 2.43, 2 Os 2.43, 1 Si 2.61
Si: 0.3711 0.3711 0.0000  2 Li 2.43, 2 Os 2.43, 1 Si 2.61
Li: 0.7500 0.2500 0.5000  4 Si 2.43
La: 0.0000 0.0000 0.0000  8 Si 3.25, 4 Li 3.29, 4 Os 3.29


(3)
## LiLaTeOs (PBE)

Data for LiLaTeOs after structural relaxation.

- Mass density: 8.56 g cm⁻³
- Space group: No. 216
- Offset from the most stable computed form: 305 meV per atom

a b c (Å): 5.0292 5.0292 5.0292
angles (deg): 60.00 60.00 60.00
Last column: nearest neighbours and their distance in Å.
Fractional coordinates of all 4 atoms:
La: 0.2500 0.2500 0.2500  4 Te 3.08, 4 Os 3.08
Li: 0.7500 0.7500 0.7500  4 Os 3.08, 4 Te 3.08
Te: 0.5000 0.5000 0.5000  4 La 3.08, 4 Li 3.08
Os: 0.0000 0.0000 0.0000  4 Li 3.08, 4 La 3.08


(4)
## LiLaTeOs (PBE)

Data for LiLaTeOs after structural relaxation.

- Mass density: 9.34 g cm⁻³
- Space group: No. 216
- Offset from the most stable computed form: 279 meV per atom

a b c (Å): 4.8850 4.8850 4.8850
angles (deg): 60.00 60.00 60.00
Last column: nearest neighbours and their distance in Å.
Fractional coordinates of all 4 atoms:
Li: 0.7500 0.7500 0.7500  4 Os 2.99, 4 La 2.99
Os: 0.0000 0.0000 0.0000  4 Li 2.99, 4 Te 2.99
La: 0.5000 0.5000 0.5000  4 Li 2.99, 4 Te 2.99
Te: 0.2500 0.2500 0.2500  4 La 2.99, 4 Os 2.99


(5)
## LiLaTeOs (PBE)

Data for LiLaTeOs after structural relaxation.

- Mass density: 9.66 g cm⁻³
- Space group: No. 216
- Offset from the most stable computed form: 0 meV per atom

a b c (Å): 4.8312 4.8312 4.8312
angles (deg): 60.00 60.00 60.00
Last column: nearest neighbours and their distance in Å.
Fractional coordinates of all 4 atoms:
La: 0.0000 0.0000 0.0000  4 Li 2.96, 4 Os 2.96
Te: 0.5000 0.5000 0.5000  4 Li 2.96, 4 Os 2.96
Os: 0.2500 0.2500 0.2500  4 La 2.96, 4 Te 2.96
Li: 0.7500 0.7500 0.7500  4 Te 2.96, 4 La 2.96


(6)
## LiLaPPd2 (PBE)

Data for LiLaPPd2 after structural relaxation.

- Mass density: 7.09 g cm⁻³
- Space group: No. 107
- Final energy: -0.196 hartree per atom

a b c (Å): 5.7134 5.7134 5.7134
angles (deg): 135.18 135.18 65.25
Last column: nearest neighbours and their distance in Å.
Fractional coordinates of all 5 atoms:
La: 0.0032 0.0032 0.0000  8 Pd 3.17-3.33, 4 Li 3.30, 4 P 3.32
Pd: 0.2418 0.7418 0.5000  2 P 2.42, 2 Li 2.55
Pd: 0.7418 0.2418 0.5000  2 P 2.42, 2 Li 2.55
P: 0.6330 0.6330 0.0000  4 Pd 2.42, 1 Li 2.43
Li: 0.3801 0.3801 0.0000  1 P 2.43, 4 Pd 2.55